Density functional theory data (GGA+U) for SiWF3 after structural relaxation.

N(E_F)	0.61	states/eV/f.u.
E above lowest polymorph	2.08	eV per formula unit

a b c (Å): 4.2670 4.2670 4.2670
angles (deg): 90.00 90.00 90.00
Closest atoms and distances in Å follow each position.
Atoms (fractional coordinates):
Si: 0.0000 0.0000 0.0000  6 F 2.13
W: 0.5000 0.5000 0.5000  12 F 3.02
F: 0.0000 0.5000 0.0000  2 Si 2.13
F: 0.0000 0.0000 0.5000  2 Si 2.13
F: 0.5000 0.0000 0.0000  2 Si 2.13